! PBE+U RbV4Cu3O12, optimized geometry; values from VASP
&SYSTEM
  ibrav = 0, nat = 20, ntyp = 4
/
ATOMIC_SPECIES
Rb 85.47 Rb.upf
V 50.94 V.upf
Cu 63.55 Cu.upf
O 16.00 O.upf
ATOMIC_POSITIONS crystal
Rb 0.0000 0.0000 0.0000
V 0.5000 0.0000 0.0000
V 0.5000 0.5000 0.5000
V 0.0000 0.5000 0.0000
V 0.0000 0.0000 0.5000
Cu 0.0000 0.5000 0.5000
Cu 0.5000 0.5000 0.0000
Cu 0.5000 0.0000 0.5000
O 0.3091 0.8112 0.1204
O 0.6909 0.1888 0.8796
O 0.6909 0.8112 0.5021
O 0.8796 0.6909 0.1888
O 0.8112 0.1204 0.3091
O 0.1888 0.4979 0.3091
O 0.4979 0.3091 0.1888
O 0.1888 0.8796 0.6909
O 0.3091 0.1888 0.4979
O 0.1204 0.3091 0.8112
O 0.8112 0.5021 0.6909
O 0.5021 0.6909 0.8112
CELL_PARAMETERS angstrom
-0.8884 -4.3229 -4.6742
4.2973 -2.2550 4.2158
-5.5796 1.0875 3.0017
! **E_tot**: -130.652 eV/f.u.